(1)
This record from the Alexandria database describes a relaxed VFeC2 crystal. The functional is PBE.

abc: 2.606 3.715 3.879
angles: 105.32 92.59 105.43
Positions (direct):
1 C 0.416 0.323 0.639
2 C 0.989 0.478 0.865
3 V 0.043 0.691 0.430
4 Fe 0.309 0.122 0.080

Values from the calculation:
N(E_F): 0.409 states/eV per atom
calculated volume: 35 Å³/f.u.
total magnetic moment: 0.00 μB per formula unit
crystal system: triclinic
ΔH_f (0 K): 0.2759 eV per atom

---

(2)
This record from the Alexandria database describes a relaxed K3HfU2As6 crystal. The functional is PBE.

abc: 7.149 7.149 8.061
angles: 98.50 98.50 120.00
Site moments in Bohr magnetons follow the coordinates.
Positions (direct):
1 As 0.608 0.937 0.812  -0.04
2 As 0.063 0.392 0.188  -0.04
3 K 0.833 0.167 0.500  0.00
4 As 0.733 0.733 0.188  -0.04
5 U 0.333 0.667 0.000  0.72
6 K 0.167 0.833 0.500  0.00
7 As 0.392 0.063 0.188  -0.04
8 K 0.500 0.500 0.500  0.00
9 As 0.267 0.267 0.812  -0.04
10 U 0.667 0.333 0.000  0.72
11 Hf 0.000 0.000 0.000  -0.02
12 As 0.937 0.608 0.812  -0.04

Values from the calculation:
N(E_F): 0.449 states/eV per atom
calculated volume: 341 Å³/f.u.
total magnetic moment: 1.02 μB per formula unit
crystal system: monoclinic
ΔH_f (0 K): -0.6254 eV per atom